[1]
## Pa4PN5 (PBE-GGA)

Data for Pa4PN5 after structural relaxation.

Lattice parameters (Å, degrees): 3.7455 7.5296 6.6803 116.30 90.00 104.40
With the nearest neighbours (Å) after each atom.
Fractional positions:
Pa 0.7206 0.4411 0.2206  6 N 2.33-2.47
Pa 0.0000 0.0000 0.2827  4 N 2.27-2.37
Pa 0.2794 0.5589 0.7794  6 N 2.33-2.47
Pa 0.0000 0.0000 0.7173  4 N 2.27-2.37
P 0.5000 0.0000 0.0000  6 Pa 2.66-2.86
N 0.1723 0.3446 0.3927  4 Pa 2.27-2.46
N 0.1722 0.3445 0.9513  4 Pa 2.27-2.47
N 0.8278 0.6555 0.0487  4 Pa 2.27-2.47
N 0.5000 0.0000 0.5000  4 Pa 2.37
N 0.8277 0.6554 0.6073  4 Pa 2.27-2.46

Results
ΔE_f (raw) (eV/atom): -1.417
Symmetry: Immm, No. 71

---

[2]
## PaPN (PBE-GGA)

Data for PaPN after structural relaxation.

Lattice parameters (Å, degrees): 4.0055 3.9396 7.8347 98.51 90.00 120.56
With the nearest neighbours (Å) after each atom.
Fractional positions:
Pa 0.7089 0.4178 0.6869  4 N 2.27-2.40
Pa 0.2911 0.5822 0.3131  4 N 2.27-2.40
P 0.9056 0.8112 0.0944  1 P 2.12
P 0.0944 0.1888 0.9056  1 P 2.12
N 0.3512 0.7023 0.6069  4 Pa 2.27-2.40
N 0.6488 0.2977 0.3931  4 Pa 2.27-2.40

Results
ΔE_f (raw) (eV/atom): -1.249
Symmetry: C2/m, No. 12

---

[3]
## Pa2P2PbN6 (PBE-GGA)

Data for Pa2P2PbN6 after structural relaxation.

Lattice parameters (Å, degrees): 6.0700 6.2885 6.1423 112.36 86.34 58.66
With the nearest neighbours (Å) after each atom.
Fractional positions:
Pa 0.8331 0.3600 0.7929  6 N 2.26-2.43
Pa 0.1669 0.6400 0.2071  6 N 2.26-2.43
P 0.1119 0.6429 0.7279  3 N 1.64-1.68
P 0.8881 0.3571 0.2721  3 N 1.64-1.68
Pb 0.5000 0.0000 0.5000  6 N 2.86-3.18, 2 P 3.04
N 0.3900 0.5380 0.8173  1 P 1.68
N 0.1286 0.2764 0.0449  1 P 1.66
N 0.0275 0.8895 0.6488  1 P 1.64
N 0.8714 0.7236 0.9551  1 P 1.66
N 0.9725 0.1105 0.3512  1 P 1.64
N 0.6100 0.4620 0.1827  1 P 1.68

Results
ΔE_f (raw) (eV/atom): -0.715
Symmetry: P-1, No. 2

---

[4]
## Pa3P4PbN12 (PBE-GGA)

Data for Pa3P4PbN12 after structural relaxation.

Lattice parameters (Å, degrees): 6.9778 6.9778 6.9778 103.30 103.30 103.30
With the nearest neighbours (Å) after each atom.
Fractional positions:
Pa 0.5440 0.4560 0.0000  6 N 2.23-2.34
Pa 0.4560 0.0000 0.5440  6 N 2.23-2.34
Pa 0.0000 0.5440 0.4560  6 N 2.23-2.34
P 0.9546 0.0454 0.5000  3 N 1.58-1.60
P 0.0454 0.5000 0.9546  3 N 1.58-1.60
P 0.5000 0.9546 0.0454  3 N 1.58-1.60
P 0.5000 0.5000 0.5000  3 N 1.59
Pb 0.0000 0.0000 0.0000  6 N 2.76
N 0.5000 0.3546 0.6454  1 P 1.59
N 0.8992 0.5000 0.1008  1 P 1.60
N 0.1008 0.8992 0.5000  1 P 1.60
N 0.5000 0.1008 0.8992  1 P 1.60
N 0.3778 0.9784 0.2097  1 P 1.58
N 0.2097 0.3778 0.9784  1 P 1.58
N 0.9784 0.2097 0.3778  1 P 1.58
N 0.6222 0.7903 0.0216  1 P 1.58
N 0.0216 0.6222 0.7903  1 P 1.58
N 0.7903 0.0216 0.6222  1 P 1.58
N 0.6454 0.5000 0.3546  1 P 1.59
N 0.3546 0.6454 0.5000  1 P 1.59

Results
ΔE_f (raw) (eV/atom): -0.674
Symmetry: R32, No. 155

---

[5]
## PaPPbN4 (PBE-GGA)

Data for PaPPbN4 after structural relaxation.

Lattice parameters (Å, degrees): 5.7514 5.4617 7.3975 90.00 104.99 90.00
With the nearest neighbours (Å) after each atom.
Fractional positions:
Pa 0.7644 0.7500 0.4235  6 N 2.20-2.44
Pa 0.2356 0.2500 0.5765  6 N 2.20-2.44
P 0.2500 0.7500 0.3509  4 N 1.64-1.66
P 0.7500 0.2500 0.6491  4 N 1.64-1.66
Pb 0.7172 0.7500 0.8700  3 N 2.42-2.57
Pb 0.2828 0.2500 0.1300  3 N 2.42-2.57
N 0.9309 0.4892 0.6728  1 P 1.65
N 0.0691 0.9892 0.3272  1 P 1.65
N 0.0691 0.5108 0.3272  1 P 1.65
N 0.9309 0.0108 0.6728  1 P 1.65
N 0.4223 0.7500 0.2049  1 P 1.64
N 0.5777 0.2500 0.7951  1 P 1.64
N 0.4361 0.7500 0.5641  1 P 1.66
N 0.5639 0.2500 0.4359  1 P 1.66

Results
ΔE_f (raw) (eV/atom): -0.639
Symmetry: P2_1/m, No. 11

---

[6]
## PaPPdN (PBE-GGA)

Data for PaPPdN after structural relaxation.

Lattice parameters (Å, degrees): 3.9443 3.9443 8.0931 90.00 90.00 90.00
With the nearest neighbours (Å) after each atom.
Fractional positions:
Pa 0.5000 0.0000 0.6465  4 N 2.30
Pa 0.0000 0.5000 0.3535  4 N 2.30
P 0.0000 0.5000 0.8198  4 Pd 2.45
P 0.5000 0.0000 0.1802  4 Pd 2.45
Pd 0.5000 0.5000 0.0000  4 P 2.45
Pd 0.0000 0.0000 0.0000  4 P 2.45
N 0.0000 0.0000 0.5000  4 Pa 2.30
N 0.5000 0.5000 0.5000  4 Pa 2.30

Results
ΔE_f (raw) (eV/atom): -1.239
Symmetry: P4/nmm, No. 129

---

> The highest ΔE_f (raw) belongs to which entry?

PaPPbN4